Entry 1:
Here is crystalline Nd2ZrNi9 at its relaxed geometry from the Alexandria database. Energies are from PBE.

Total magnetization = 0.0 Bohr magnetons per cell

abc: 4.9226 4.9226 8.7888
angles: 73.74 73.74 60.00
With the nearest neighbours (Å) after each atom.
Element x y z (fractional)
Ni1 0.4213 0.9204 0.2370  7 Ni 2.43-2.61
Ni2 0.9204 0.4213 0.2370  7 Ni 2.43-2.61
Ni3 0.4213 0.4213 0.2370  7 Ni 2.43-2.61
Ni4 0.5787 0.5787 0.7630  7 Ni 2.43-2.61
Ni5 0.3331 0.3331 0.0006  6 Ni 2.43
Ni6 0.6669 0.6669 0.9994  6 Ni 2.43
Ni7 0.5000 0.5000 0.5000  6 Ni 2.61
Ni8 0.0796 0.5787 0.7630  7 Ni 2.43-2.61
Ni9 0.5787 0.0796 0.7630  7 Ni 2.43-2.61
Zr1 0.0000 0.0000 0.0000  18 Ni 2.84-3.15
Nd1 0.8632 0.8632 0.4104  9 Ni 2.85-2.94
Nd2 0.1368 0.1368 0.5896  9 Ni 2.85-2.94

Entry 2:
Here is crystalline ZnCo2Ru at its relaxed geometry from the Alexandria database. Energies are from PBE.

Total magnetization = 4.0 Bohr magnetons per cell

abc: 4.8550 4.8550 4.8550
angles: 144.79 129.60 62.97
With the nearest neighbours (Å) after each atom.
Element x y z (fractional)
Ru1 0.7500 0.2500 0.5000  4 Zn 2.54, 4 Co 2.54
Zn1 0.2500 0.7500 0.5000  4 Co 2.53, 4 Ru 2.54
Co1 0.4995 0.4995 0.0000  2 Zn 2.53, 4 Co 2.54, 2 Ru 2.54
Co2 0.0005 0.0005 0.0000  2 Zn 2.53, 4 Co 2.54, 2 Ru 2.54

Entry 3:
Here is crystalline Y3TlNi at its relaxed geometry from the Alexandria database. Energies are from PBE.

Total magnetization = 0.0 Bohr magnetons per cell
Distance to the lowest polymorph of the same formula = 0.00 eV/f.u.

abc: 3.9399 8.3848 8.6466
angles: 112.29 90.00 90.00
With the nearest neighbours (Å) after each atom.
Element x y z (fractional)
Y1 0.7500 0.6801 0.4224  3 Ni 2.93-2.99, 1 Tl 3.24
Y2 0.2500 0.3199 0.5776  3 Ni 2.93-2.99, 1 Tl 3.24
Y3 0.2500 0.6759 0.0914  1 Ni 2.83
Y4 0.7500 0.0455 0.2318  3 Ni 2.90-2.98
Y5 0.7500 0.3241 0.9086  1 Ni 2.83
Y6 0.2500 0.9545 0.7682  3 Ni 2.90-2.98
Tl1 0.2500 0.3464 0.2134  8 Y 3.24-3.34
Tl2 0.7500 0.6536 0.7866  8 Y 3.24-3.34
Ni1 0.2500 0.9358 0.4167  2 Ni 2.44
Ni2 0.7500 0.0642 0.5833  2 Ni 2.44

E values, unit eV/atom, following the record order: -6.14, -6.04, -5.83.
Density of states at the Fermi level values, unit states/eV/cell, following the record order: 15.82, 4.34, 8.70.
Formation energy values, unit kJ per mole of atoms, following the record order: -29, 15, -31.